[1]
DFT (PBE) results for crystalline Be2GaOs2 at its relaxed geometry.

abc: 6.0934 6.0934 3.0549
angles: 90.00 90.00 90.00
Closest atoms and distances in Å follow each position.
Atoms (fractional coordinates):
Be: 0.1211 0.3789 0.0000  1 Be 2.09
Be: 0.3789 0.8789 0.0000  1 Be 2.09
Be: 0.6211 0.1211 0.0000  1 Be 2.09
Be: 0.8789 0.6211 0.0000  1 Be 2.09
Ga: 0.0000 0.0000 0.0000  4 Be 2.42
Ga: 0.5000 0.5000 0.0000  4 Be 2.42
Os: 0.1720 0.6720 0.5000  6 Be 2.35-2.37
Os: 0.3280 0.1720 0.5000  6 Be 2.35-2.37
Os: 0.6720 0.8280 0.5000  6 Be 2.35-2.37
Os: 0.8280 0.3280 0.5000  6 Be 2.35-2.37

Properties
**DFT total energy**: -67.6 eV per cell
**Size of the total moment**: 0.00 Bohr magnetons per cell

***

[2]
DFT (PBE) results for crystalline CoHgPd2 at its relaxed geometry.

abc: 6.3281 6.3281 6.3281
angles: 90.00 90.00 90.00
Closest atoms and distances in Å follow each position.
Atoms (fractional coordinates):
Co: 0.0000 0.0000 0.0000  4 Hg 2.74, 4 Pd 2.74
Co: 0.0000 0.5000 0.5000  4 Hg 2.74, 4 Pd 2.74
Co: 0.5000 0.0000 0.5000  4 Hg 2.74, 4 Pd 2.74
Co: 0.5000 0.5000 0.0000  4 Hg 2.74, 4 Pd 2.74
Hg: 0.2500 0.2500 0.2500  4 Pd 2.74, 4 Co 2.74
Hg: 0.2500 0.7500 0.7500  4 Co 2.74, 4 Pd 2.74
Hg: 0.7500 0.2500 0.7500  4 Co 2.74, 4 Pd 2.74
Hg: 0.7500 0.7500 0.2500  4 Co 2.74, 4 Pd 2.74
Pd: 0.0000 0.0000 0.5000  4 Pd 2.74, 4 Hg 2.74
Pd: 0.0000 0.5000 0.0000  4 Pd 2.74, 4 Hg 2.74
Pd: 0.2500 0.2500 0.7500  4 Co 2.74, 4 Pd 2.74
Pd: 0.2500 0.7500 0.2500  4 Co 2.74, 4 Pd 2.74
Pd: 0.5000 0.0000 0.0000  4 Pd 2.74, 4 Hg 2.74
Pd: 0.5000 0.5000 0.5000  4 Pd 2.74, 4 Hg 2.74
Pd: 0.7500 0.2500 0.2500  4 Co 2.74, 4 Pd 2.74
Pd: 0.7500 0.7500 0.7500  4 Co 2.74, 4 Pd 2.74

Properties
**DFT total energy**: -68.5 eV per cell
**Size of the total moment**: 8.13 Bohr magnetons per cell

***

[3]
DFT (PBE) results for crystalline AgPbSeO at its relaxed geometry.

abc: 6.1212 9.0753 6.0787
angles: 90.00 90.00 90.00
Closest atoms and distances in Å follow each position.
Atoms (fractional coordinates):
Ag: 0.2499 0.0620 0.0000  2 O 2.18
Ag: 0.2501 0.0620 0.5000  2 O 2.18
Ag: 0.7499 0.9380 0.0000  2 O 2.18
Ag: 0.7501 0.9380 0.5000  2 O 2.18
Pb: 0.0396 0.6689 0.2466  1 O 2.30
Pb: 0.4604 0.6689 0.7466  1 O 2.30
Pb: 0.5396 0.3311 0.2466  1 O 2.30
Pb: 0.9604 0.3311 0.7466  1 O 2.30
Se: 0.0234 0.3096 0.2457  5 Pb 2.97-3.26, 2 Ag 3.03-3.06
Se: 0.4766 0.3096 0.7457  5 Pb 2.97-3.26, 2 Ag 3.03-3.06
Se: 0.5234 0.6904 0.2457  5 Pb 2.97-3.26, 2 Ag 3.03-3.06
Se: 0.9766 0.6904 0.7457  5 Pb 2.97-3.26, 2 Ag 3.03-3.06
O: 0.0041 0.9216 0.2500  2 Ag 2.18, 1 Pb 2.30
O: 0.4959 0.9216 0.7500  2 Ag 2.18, 1 Pb 2.30
O: 0.5041 0.0784 0.2500  2 Ag 2.18, 1 Pb 2.30
O: 0.9959 0.0784 0.7500  2 Ag 2.18, 1 Pb 2.30

Properties
**Polymorph energy (0 for the lowest one)**: 151 meV/atom

***

[4]
DFT (PBE) results for crystalline AgBiOs2 at its relaxed geometry.

abc: 6.5937 6.5937 6.5937
angles: 90.00 90.00 90.00
Closest atoms and distances in Å follow each position.
Atoms (fractional coordinates):
Ag: 0.0000 0.0000 0.0000  4 Os 2.86, 4 Bi 2.86
Ag: 0.0000 0.5000 0.5000  4 Os 2.86, 4 Bi 2.86
Ag: 0.5000 0.0000 0.5000  4 Os 2.86, 4 Bi 2.86
Ag: 0.5000 0.5000 0.0000  4 Os 2.86, 4 Bi 2.86
Bi: 0.2500 0.2500 0.7500  4 Ag 2.86, 4 Os 2.86
Bi: 0.2500 0.7500 0.2500  4 Ag 2.86, 4 Os 2.86
Bi: 0.7500 0.2500 0.2500  4 Ag 2.86, 4 Os 2.86
Bi: 0.7500 0.7500 0.7500  4 Os 2.86, 4 Ag 2.86
Os: 0.0000 0.0000 0.5000  4 Bi 2.86, 4 Os 2.86
Os: 0.0000 0.5000 0.0000  4 Bi 2.86, 4 Os 2.86
Os: 0.2500 0.2500 0.2500  4 Os 2.86, 4 Ag 2.86
Os: 0.2500 0.7500 0.7500  4 Os 2.86, 4 Ag 2.86
Os: 0.5000 0.0000 0.0000  4 Bi 2.86, 4 Os 2.86
Os: 0.5000 0.5000 0.5000  4 Bi 2.86, 4 Os 2.86
Os: 0.7500 0.2500 0.7500  4 Os 2.86, 4 Ag 2.86
Os: 0.7500 0.7500 0.2500  4 Os 2.86, 4 Ag 2.86

Properties
**DFT total energy**: -100.5 eV per cell
**Size of the total moment**: 0.08 Bohr magnetons per cell

***

[5]
DFT (PBE) results for crystalline RbPd3S5 at its relaxed geometry.

abc: 5.9877 5.9877 6.8395
angles: 90.00 90.00 120.00
Closest atoms and distances in Å follow each position.
Atoms (fractional coordinates):
Rb: 0.0000 0.0000 0.0000  2 S 3.42
Pd: 0.0000 0.5000 0.5000  4 S 2.37
Pd: 0.5000 0.0000 0.5000  4 S 2.37
Pd: 0.5000 0.5000 0.5000  4 S 2.37
S: 0.0000 0.0000 0.5000  6 Pd 2.99
S: 0.3333 0.6667 0.2635  3 Pd 2.37
S: 0.3333 0.6667 0.7365  3 Pd 2.37
S: 0.6667 0.3333 0.2635  3 Pd 2.37
S: 0.6667 0.3333 0.7365  3 Pd 2.37

Properties
**DFT total energy**: -40.0 eV per cell

***

[6]
DFT (PBE) results for crystalline NaZrAlSe3 at its relaxed geometry.

abc: 7.4870 7.4870 10.2520
angles: 90.00 90.00 151.31
Closest atoms and distances in Å follow each position.
Atoms (fractional coordinates):
Na: 0.2455 0.7545 0.7500  6 Se 3.09-3.16
Na: 0.7545 0.2455 0.2500  6 Se 3.09-3.16
Zr: 0.0000 0.0000 0.0000  6 Se 2.80-2.81
Zr: 0.0000 0.0000 0.5000  6 Se 2.80-2.81
Al: 0.4635 0.5365 0.2500  4 Se 2.41-2.49
Al: 0.5365 0.4635 0.7500  4 Se 2.41-2.49
Se: 0.0782 0.9218 0.2500  2 Al 2.49
Se: 0.3619 0.6381 0.0635  1 Al 2.41
Se: 0.3619 0.6381 0.4365  1 Al 2.41
Se: 0.6381 0.3619 0.5635  1 Al 2.41
Se: 0.6381 0.3619 0.9365  1 Al 2.41
Se: 0.9218 0.0782 0.7500  2 Al 2.49

Properties
**DFT total energy**: -59.4 eV per cell
**Size of the total moment**: 1.14 Bohr magnetons per cell

***

[7]
DFT (PBE) results for crystalline DyErFe2Br2 at its relaxed geometry.

abc: 3.8411 3.8411 11.5786
angles: 90.00 90.00 120.00
Closest atoms and distances in Å follow each position.
Atoms (fractional coordinates):
Dy: 0.0000 0.0000 0.0000  6 Fe 2.91-3.02, 3 Br 2.93
Er: 0.0000 0.0000 0.3386  6 Fe 2.91-3.01, 3 Br 2.93
Fe: 0.3333 0.6667 0.1629  3 Fe 2.22
Fe: 0.6667 0.3333 0.1765  3 Fe 2.22
Br: 0.3333 0.6667 0.5041  3 Er 2.93
Br: 0.6667 0.3333 0.8344  3 Dy 2.93

Properties
**DFT total energy**: -34.8 eV per cell
**Size of the total moment**: 1.73 Bohr magnetons per cell

***

[8]
DFT (PBE) results for crystalline FeCuSnOs at its relaxed geometry.

abc: 6.1987 6.1987 6.1987
angles: 90.00 90.00 90.00
Closest atoms and distances in Å follow each position.
Atoms (fractional coordinates):
Fe: 0.0000 0.0000 0.0000  4 Os 2.68, 4 Cu 2.68
Fe: 0.0000 0.5000 0.5000  4 Cu 2.68, 4 Os 2.68
Fe: 0.5000 0.0000 0.5000  4 Cu 2.68, 4 Os 2.68
Fe: 0.5000 0.5000 0.0000  4 Cu 2.68, 4 Os 2.68
Cu: 0.2500 0.2500 0.7500  4 Sn 2.68, 4 Fe 2.68
Cu: 0.2500 0.7500 0.2500  4 Sn 2.68, 4 Fe 2.68
Cu: 0.7500 0.2500 0.2500  4 Sn 2.68, 4 Fe 2.68
Cu: 0.7500 0.7500 0.7500  4 Sn 2.68, 4 Fe 2.68
Sn: 0.0000 0.0000 0.5000  4 Os 2.68, 4 Cu 2.68
Sn: 0.0000 0.5000 0.0000  4 Os 2.68, 4 Cu 2.68
Sn: 0.5000 0.0000 0.0000  4 Os 2.68, 4 Cu 2.68
Sn: 0.5000 0.5000 0.5000  4 Os 2.68, 4 Cu 2.68
Os: 0.2500 0.2500 0.2500  4 Sn 2.68, 4 Fe 2.68
Os: 0.2500 0.7500 0.7500  4 Sn 2.68, 4 Fe 2.68
Os: 0.7500 0.2500 0.7500  4 Sn 2.68, 4 Fe 2.68
Os: 0.7500 0.7500 0.2500  4 Sn 2.68, 4 Fe 2.68

Properties
**Polymorph energy (0 for the lowest one)**: 0 meV/atom
**Size of the total moment**: 11.95 Bohr magnetons per cell

***

[9]
DFT (PBE) results for crystalline NaNiTeAuSe2 at its relaxed geometry.

abc: 7.8453 7.8453 10.4559
angles: 90.00 90.00 154.08
Closest atoms and distances in Å follow each position.
Atoms (fractional coordinates):
Na: 0.2247 0.7753 0.7500  2 Au 2.94, 2 Te 3.16
Na: 0.7753 0.2247 0.2500  2 Au 2.94, 2 Te 3.16
Ni: 0.5000 0.5000 0.0000  4 Se 2.42
Ni: 0.5000 0.5000 0.5000  4 Se 2.42
Te: 0.4466 0.5534 0.2500  2 Ni 2.74
Te: 0.5534 0.4466 0.7500  2 Ni 2.74
Au: 0.1215 0.8785 0.2500  2 Se 2.47
Au: 0.8785 0.1215 0.7500  2 Se 2.47
Se: 0.1079 0.8921 0.0149  2 Ni 2.42, 1 Au 2.47
Se: 0.1079 0.8921 0.4851  2 Ni 2.42, 1 Au 2.47
Se: 0.8921 0.1079 0.5149  2 Ni 2.42, 1 Au 2.47
Se: 0.8921 0.1079 0.9851  2 Ni 2.42, 1 Au 2.47

Properties
**DFT total energy**: -44.0 eV per cell
**Size of the total moment**: 0.02 Bohr magnetons per cell

***

[10]
DFT (PBE) results for crystalline SrHfW at its relaxed geometry.

abc: 6.8431 6.8431 6.8431
angles: 90.00 90.00 90.00
Closest atoms and distances in Å follow each position.
Atoms (fractional coordinates):
Sr: 0.0000 0.0000 0.0000  4 W 2.96
Sr: 0.0000 0.5000 0.5000  4 W 2.96
Sr: 0.5000 0.0000 0.5000  4 W 2.96
Sr: 0.5000 0.5000 0.0000  4 W 2.96
Hf: 0.0000 0.0000 0.5000  4 W 2.96
Hf: 0.0000 0.5000 0.0000  4 W 2.96
Hf: 0.5000 0.0000 0.0000  4 W 2.96
Hf: 0.5000 0.5000 0.5000  4 W 2.96
W: 0.2500 0.2500 0.7500  4 Hf 2.96, 4 Sr 2.96
W: 0.2500 0.7500 0.2500  4 Hf 2.96, 4 Sr 2.96
W: 0.7500 0.2500 0.2500  4 Hf 2.96, 4 Sr 2.96
W: 0.7500 0.7500 0.7500  4 Hf 2.96, 4 Sr 2.96

Properties
**Polymorph energy (0 for the lowest one)**: 0 meV/atom
**Size of the total moment**: 0.06 Bohr magnetons per cell

***

[11]
DFT (PBE) results for crystalline ZnBAs2 at its relaxed geometry.

abc: 6.3325 6.3325 6.3325
angles: 90.00 90.00 90.00
Closest atoms and distances in Å follow each position.
Atoms (fractional coordinates):
Zn: 0.0000 0.0000 0.0000  4 As 2.74, 4 B 2.74
Zn: 0.0000 0.5000 0.5000  4 As 2.74, 4 B 2.74
Zn: 0.5000 0.0000 0.5000  4 As 2.74, 4 B 2.74
Zn: 0.5000 0.5000 0.0000  4 As 2.74, 4 B 2.74
B: 0.2500 0.2500 0.7500  4 As 2.74, 4 Zn 2.74
B: 0.2500 0.7500 0.2500  4 As 2.74, 4 Zn 2.74
B: 0.7500 0.2500 0.2500  4 As 2.74, 4 Zn 2.74
B: 0.7500 0.7500 0.7500  4 As 2.74, 4 Zn 2.74
As: 0.0000 0.0000 0.5000  4 B 2.74, 4 As 2.74
As: 0.0000 0.5000 0.0000  4 As 2.74, 4 B 2.74
As: 0.2500 0.2500 0.2500  4 As 2.74, 4 Zn 2.74
As: 0.2500 0.7500 0.7500  4 As 2.74, 4 Zn 2.74
As: 0.5000 0.0000 0.0000  4 As 2.74, 4 B 2.74
As: 0.5000 0.5000 0.5000  4 B 2.74, 4 As 2.74
As: 0.7500 0.2500 0.7500  4 As 2.74, 4 Zn 2.74
As: 0.7500 0.7500 0.2500  4 As 2.74, 4 Zn 2.74

Properties
**DFT total energy**: -52.9 eV per cell

***

[12]
DFT (PBE) results for crystalline SnHg3S4 at its relaxed geometry.

abc: 6.1447 6.1447 12.1341
angles: 90.00 90.00 90.00
Closest atoms and distances in Å follow each position.
Atoms (fractional coordinates):
Sn: 0.0000 0.0000 0.0000  4 S 2.77
Sn: 0.5000 0.5000 0.5000  4 S 2.77
Hg: 0.0000 0.0000 0.5000  4 S 2.60
Hg: 0.0000 0.5000 0.2500  4 S 2.61
Hg: 0.0000 0.5000 0.7500  4 S 2.61
Hg: 0.5000 0.0000 0.2500  4 S 2.61
Hg: 0.5000 0.0000 0.7500  4 S 2.61
Hg: 0.5000 0.5000 0.0000  4 S 2.60
S: 0.2379 0.2379 0.3696  3 Hg 2.60-2.61, 1 Sn 2.77
S: 0.2379 0.7621 0.6304  3 Hg 2.60-2.61, 1 Sn 2.77
S: 0.2621 0.2621 0.8696  3 Hg 2.60-2.61, 1 Sn 2.77
S: 0.2621 0.7379 0.1304  3 Hg 2.60-2.61, 1 Sn 2.77
S: 0.7379 0.2621 0.1304  3 Hg 2.60-2.61, 1 Sn 2.77
S: 0.7379 0.7379 0.8696  3 Hg 2.60-2.61, 1 Sn 2.77
S: 0.7621 0.2379 0.6304  3 Hg 2.60-2.61, 1 Sn 2.77
S: 0.7621 0.7621 0.3696  3 Hg 2.60-2.61, 1 Sn 2.77

Properties
**DFT total energy**: -45.0 eV per cell

***

> Which formula does entry 1 have?

Be2GaOs2

***

> What is the formula in the fourth record?

AgBiOs2